(1)
# Sr2CaPdPb PBE optimized geometry
data_Sr2CaPdPb
_chemical_formula_sum 'Sr2 Ca1 Pd1 Pb1'
_symmetry_space_group_name_H-M 'P 1'
_symmetry_Int_Tables_number 1
_symmetry_space_group_name_Hall 'P 1'
_cell_length_a 5.841
_cell_length_b 5.841
_cell_length_c 5.467
_cell_angle_alpha 90.00
_cell_angle_beta 90.00
_cell_angle_gamma 90.00
loop_
_atom_site_label
_atom_site_type_symbol
_atom_site_fract_x
_atom_site_fract_y
_atom_site_fract_z
Pb1 Pb 0.500 0.500 0.500
Sr1 Sr 0.000 0.500 0.000
Sr2 Sr 0.500 0.000 0.000
Ca1 Ca 0.000 0.000 0.500
Pd1 Pd 0.000 0.000 0.000
# Formation enthalpy at 0 K ... -192 kJ/mol of formula units
# Fermi-level density of states ... 2.41 states/eV per cell
# Total energy ... -16.3 eV/cell
# Total moment ... 0.000 μB/atom
# Symmetry ... P4/mmm, No. 123
# Energy above the lowest structure with this stoichiometry ... 0 meV per atom



(2)
# MnReS2Cl PBE optimized geometry
data_MnReS2Cl
_chemical_formula_sum 'Mn1 Re1 S2 Cl1'
_symmetry_space_group_name_H-M 'P 1'
_symmetry_Int_Tables_number 1
_symmetry_space_group_name_Hall 'P 1'
_cell_length_a 4.581
_cell_length_b 4.581
_cell_length_c 5.067
_cell_angle_alpha 90.00
_cell_angle_beta 90.00
_cell_angle_gamma 90.00
loop_
_atom_site_label
_atom_site_type_symbol
_atom_site_fract_x
_atom_site_fract_y
_atom_site_fract_z
Re1 Re 0.000 0.000 0.000
S1 S 0.000 0.500 0.000
S2 S 0.500 0.000 0.000
Mn1 Mn 0.500 0.500 0.500
Cl1 Cl 0.000 0.000 0.500
# Formation energy (no corrections) ... 1.951 eV/f.u.
# Fermi-level density of states ... 2.75 states/eV per cell
# Total energy ... -29.8 eV/cell
# Total moment ... 1.089 μB/atom
# Symmetry ... P4/mmm, No. 123
# Energy above the lowest structure with this stoichiometry ... 0 meV per atom